First-principles (GGA+U) data for a relaxed Mn5As4H10O20 crystal, as listed in the Alexandria database.

Results
Density (g/cm³): 3.51
Density of states at the Fermi level (states/eV/f.u.): 0.00
E (eV per cell): -481.574

Cell lengths 10.306, 10.306, 9.972 Å; angles 95.63, 95.63, 54.43 degrees
Element x y z (fractional)
Mn 0.102 0.898 0.750
Mn 0.144 0.204 0.862
Mn 0.204 0.144 0.362
Mn 0.229 0.400 0.186
Mn 0.400 0.229 0.686
Mn 0.600 0.771 0.314
Mn 0.771 0.600 0.814
Mn 0.796 0.856 0.638
Mn 0.856 0.796 0.138
Mn 0.898 0.102 0.250
As 0.100 0.732 0.415
As 0.102 0.579 0.875
As 0.268 0.900 0.085
As 0.421 0.898 0.625
As 0.579 0.102 0.375
As 0.732 0.100 0.915
As 0.898 0.421 0.125
As 0.900 0.268 0.585
H 0.083 0.381 0.581
H 0.164 0.420 0.475
H 0.274 0.686 0.980
H 0.314 0.726 0.520
H 0.351 0.518 0.729
H 0.381 0.083 0.081
H 0.408 0.516 0.146
H 0.420 0.164 0.975
H 0.482 0.649 0.771
H 0.484 0.592 0.354
H 0.516 0.408 0.646
H 0.518 0.351 0.229
H 0.580 0.836 0.025
H 0.592 0.484 0.854
H 0.619 0.917 0.919
H 0.649 0.482 0.271
H 0.686 0.274 0.480
H 0.726 0.314 0.020
H 0.836 0.580 0.525
H 0.917 0.619 0.419
O 0.009 0.143 0.713
O 0.019 0.814 0.568
O 0.074 0.598 0.047
O 0.081 0.322 0.210
O 0.110 0.561 0.368
O 0.143 0.009 0.213
O 0.180 0.332 0.527
O 0.186 0.981 0.932
O 0.205 0.381 0.822
O 0.205 0.659 0.843
O 0.296 0.681 0.429
O 0.319 0.704 0.071
O 0.322 0.081 0.710
O 0.332 0.180 0.027
O 0.341 0.795 0.657
O 0.381 0.205 0.322
O 0.402 0.926 0.453
O 0.414 0.425 0.664
O 0.425 0.414 0.164
O 0.439 0.890 0.132
O 0.561 0.110 0.868
O 0.575 0.586 0.836
O 0.586 0.575 0.336
O 0.598 0.074 0.547
O 0.619 0.795 0.678
O 0.659 0.205 0.343
O 0.668 0.820 0.973
O 0.678 0.919 0.290
O 0.681 0.296 0.929
O 0.704 0.319 0.571
O 0.795 0.341 0.157
O 0.795 0.619 0.178
O 0.814 0.019 0.068
O 0.820 0.668 0.473
O 0.857 0.991 0.787
O 0.890 0.439 0.632
O 0.919 0.678 0.790
O 0.926 0.402 0.953
O 0.981 0.186 0.432
O 0.991 0.857 0.287